No. 1
## ZrTaS6 (PBE)

Data for ZrTaS6 after structural relaxation.

The structure in POSCAR format:
```
ZrTaS6
1.0
6.133 -0.042 0.205
3.027 5.153 0.517
3.225 2.096 5.850
Zr Ta S
1 1 6
direct
0.000 0.000 0.000 Zr
0.500 0.500 0.500 Ta
0.053 0.485 0.642 S
0.662 0.028 0.845 S
0.671 0.254 0.261 S
0.338 0.972 0.155 S
0.947 0.515 0.358 S
0.329 0.746 0.739 S
```

Magnetic moment = 0.00 μB/f.u.



No. 2
## ZrTaS3 (PBE)

Data for ZrTaS3 after structural relaxation.

The structure in POSCAR format:
```
ZrTaS3
1.0
-3.384 1.879 -2.984
-1.350 -4.511 -1.310
-3.258 -0.083 3.643
S Zr Ta
3 1 1
direct
0.000 0.500 0.000 S
0.000 0.000 0.500 S
0.500 0.000 0.000 S
0.000 0.000 0.000 Zr
0.500 0.500 0.500 Ta
```

Magnetic moment = 2.94 μB/f.u.
Energy relative to the lowest polymorph listed for this composition = 1.367 eV per atom



No. 3
## ZrTaS2 (PBE)

Data for ZrTaS2 after structural relaxation.

The structure in POSCAR format:
```
ZrTaS2
1.0
-4.339 0.006 1.081
-2.952 2.113 -2.612
-2.915 -2.356 -2.440
S Zr Ta
2 1 1
direct
0.250 0.250 0.250 S
0.750 0.750 0.750 S
0.000 0.000 0.000 Zr
0.500 0.500 0.500 Ta
```

Magnetic moment = 0.00 μB/f.u.
Energy relative to the lowest polymorph listed for this composition = 0.000 eV per atom



No. 4
## ZrTaS2 (PBE)

Data for ZrTaS2 after structural relaxation.

The structure in POSCAR format:
```
ZrTaS2
1.0
4.723 0.000 0.000
0.000 4.723 0.000
2.361 2.361 7.366
S Zr Ta
4 2 2
direct
0.654 0.125 0.250 S
0.096 0.625 0.250 S
0.375 0.346 0.750 S
0.875 0.904 0.750 S
0.500 0.500 0.000 Zr
0.250 0.750 0.500 Zr
0.000 0.000 0.000 Ta
0.750 0.250 0.500 Ta
```

Magnetic moment = 0.00 μB/f.u.
Energy relative to the lowest polymorph listed for this composition = 0.242 eV per atom



Energy relative to the elements, uncorrected (eV per atom)
-0.6545, 0.1971, -0.7919, -0.5500
DOS at the Fermi energy (states/eV/cell)
3.1, 3.4, 4.6, 12.8